Entry from Alexandria: a relaxed structure of BaCoHgF6 (GGA+U).

Cell: 5.9184 5.9184 10.6080 Å, 90.00 90.00 120.00°
Fractional positions:
F  0.3795  0.0353  0.1438
F  0.0353  0.6558  0.8562
F  0.9647  0.3442  0.1438
F  0.6558  0.0353  0.3562
F  0.9647  0.6205  0.3562
Ba  0.0000  0.0000  0.5000
Co  0.3333  0.6667  0.7500
F  0.6558  0.6205  0.1438
F  0.3442  0.9647  0.6438
F  0.0353  0.3795  0.6438
F  0.3795  0.3442  0.3562
Ba  0.0000  0.0000  0.0000
F  0.6205  0.9647  0.8562
F  0.6205  0.6558  0.6438
Hg  0.6667  0.3333  0.7500
F  0.3442  0.3795  0.8562
Co  0.6667  0.3333  0.2500
Hg  0.3333  0.6667  0.2500

Properties
Calculated total energy ... -81.56 eV for the cell shown
Crystal system ... trigonal
Space-group type ... No. 163